V4MoW5 GGA-PBE relaxed; SG = No. 123; final energy = -112.9 eV per cell
1.0
3.105 0.000 0.000
0.000 3.105 0.000
0.000 0.000 15.495
V Mo W
4 1 5
direct
0.000 0.000 0.099
0.000 0.000 0.297
0.000 0.000 0.703
0.000 0.000 0.901
0.000 0.000 0.500
0.500 0.500 0.000
0.500 0.500 0.198
0.500 0.500 0.396
0.500 0.500 0.604
0.500 0.500 0.802